(1)
Compound: Na3LaNb
Source: Alexandria
Functional: PBE
Structure: optimized geometry

Output
For the final energy, the calculation gives -2.56 eV per atom.

Cell lengths 5.666, 5.666, 5.666 Å; angles 90.00, 90.00, 90.00 degrees
Element x y z (fractional)
Na 0.000 0.500 0.000
Na 0.000 0.000 0.500
Nb 0.000 0.000 0.000
La 0.500 0.500 0.500
Na 0.500 0.000 0.000

---

(2)
Compound: CaMnCo2
Source: Alexandria
Functional: PBE
Structure: optimized geometry

Output
As for the energy above the most stable polymorph in this dataset: 12 meV/atom.

Cell lengths 4.060, 4.060, 5.520 Å; angles 68.38, 68.38, 60.01 degrees
Element x y z (fractional)
Mn 0.750 0.750 0.750
Ca 0.250 0.250 0.250
Co 0.439 0.439 0.682
Co 0.061 0.061 0.818

---

(3)
Compound: La2TaAlIr
Source: Alexandria
Functional: PBE
Structure: optimized geometry

Output
For the final energy, the calculation gives -5.92 eV per atom.

Cell lengths 5.378, 4.880, 5.378 Å; angles 90.00, 90.00, 90.00 degrees
Element x y z (fractional)
La 0.000 0.000 0.500
Ir 0.500 0.500 0.500
Al 0.000 0.500 0.000
La 0.500 0.000 0.000
Ta 0.000 0.000 0.000

---

(4)
Compound: LiGa
Source: Alexandria
Functional: PBE
Structure: optimized geometry

Output
For the final energy, the calculation gives -2.62 eV per atom.

Cell lengths 9.039, 4.643, 5.484 Å; angles 90.00, 90.00, 90.00 degrees
Element x y z (fractional)
Li 0.500 0.764 0.500
Ga 0.250 0.000 0.750
Li 0.328 0.500 0.000
Li 0.828 0.500 0.500
Ga 0.750 0.000 0.250
Ga 0.750 0.000 0.750
Ga 0.250 0.000 0.250
Li 0.172 0.500 0.500
Ga 0.000 0.001 0.500
Li 0.672 0.500 0.000
Li 0.000 0.236 0.000
Ga 0.500 0.999 0.000

---

(5)
Compound: MgTeAs2
Source: Alexandria
Functional: PBE
Structure: optimized geometry

Output
As for the energy above the most stable polymorph in this dataset: 44 meV/atom. The calculation puts the uncorrected formation energy at -204 meV per atom.

Cell lengths 4.017, 4.017, 6.028 Å; angles 90.00, 90.00, 90.00 degrees
Element x y z (fractional)
Te 0.500 0.500 0.583
Mg 0.000 0.000 0.664
As 0.500 0.500 0.140
As 0.000 0.000 0.113

---

(6)
Compound: VFeRu2Pt
Source: Alexandria
Functional: PBE
Structure: optimized geometry

Output
For the final energy, the calculation gives -7.47 eV per atom.

Cell lengths 4.354, 4.354, 4.191 Å; angles 90.00, 90.00, 90.00 degrees
Element x y z (fractional)
Pt 0.500 0.500 0.500
Fe 0.000 0.000 0.000
Ru 0.500 0.000 0.000
V 0.000 0.000 0.500
Ru 0.000 0.500 0.000